# 1
DFT (PBE-GGA) results for a relaxed TmAuC crystal.

Results
energy: -6.02 eV/atom
symmetry: C2/m, No. 12
magnetization: 0.0 μB/f.u.
formation enthalpy at 0 K: -0.36 eV/atom

The structure in CIF format:
```
data_TmAuC
_symmetry_space_group_name_H-M 'P 1'
_symmetry_Int_Tables_number 1
_cell_length_a 4.664
_cell_length_b 4.664
_cell_length_c 7.495
_cell_angle_alpha 117.38
_cell_angle_beta 117.38
_cell_angle_gamma 46.99
loop_
_symmetry_equiv_pos_as_xyz
'x,y,z'
loop_
_atom_site_label
_atom_site_fract_x
_atom_site_fract_y
_atom_site_fract_z
Tm1 0.075 0.075 0.311
Tm2 0.925 0.925 0.689
Au1 0.317 0.317 0.916
Au2 0.683 0.683 0.084
C1 0.410 0.410 0.464
C2 0.590 0.590 0.536
```

***

# 2
DFT (PBE-GGA) results for a relaxed Tm4Au2C crystal.

Results
energy: -5.36 eV/atom
symmetry: I4/mmm, No. 139
magnetization: 0.0 μB/f.u.
formation enthalpy at 0 K: -0.55 eV/atom

The structure in CIF format:
```
data_Tm4Au2C
_symmetry_space_group_name_H-M 'P 1'
_symmetry_Int_Tables_number 1
_cell_length_a 7.963
_cell_length_b 7.963
_cell_length_c 7.963
_cell_angle_alpha 145.41
_cell_angle_beta 145.41
_cell_angle_gamma 49.73
loop_
_symmetry_equiv_pos_as_xyz
'x,y,z'
loop_
_atom_site_label
_atom_site_fract_x
_atom_site_fract_y
_atom_site_fract_z
Tm1 0.000 0.500 0.500
Tm2 0.170 0.170 0.000
Tm3 0.500 0.000 0.500
Tm4 0.830 0.830 0.000
Au1 0.368 0.368 0.000
Au2 0.632 0.632 0.000
C1 0.000 0.000 0.000
```

***

# 3
DFT (PBE-GGA) results for a relaxed Tm3AuC crystal.

Results
energy: -5.75 eV/atom
symmetry: Pnma, No. 62
magnetization: 0.0 μB/f.u.
excess energy over the best structure of this formula in the dataset: 0.000 eV per atom
formation enthalpy at 0 K: -0.57 eV/atom

The structure in CIF format:
```
data_Tm3AuC
_symmetry_space_group_name_H-M 'P 1'
_symmetry_Int_Tables_number 1
_cell_length_a 8.540
_cell_length_b 3.587
_cell_length_c 14.086
_cell_angle_alpha 90.00
_cell_angle_beta 90.00
_cell_angle_gamma 90.00
loop_
_symmetry_equiv_pos_as_xyz
'x,y,z'
loop_
_atom_site_label
_atom_site_fract_x
_atom_site_fract_y
_atom_site_fract_z
Tm1 0.005 0.250 0.101
Tm2 0.177 0.250 0.527
Tm3 0.192 0.750 0.308
Tm4 0.308 0.250 0.808
Tm5 0.323 0.750 0.027
Tm6 0.495 0.750 0.601
Tm7 0.505 0.250 0.399
Tm8 0.677 0.250 0.973
Tm9 0.692 0.750 0.192
Tm10 0.808 0.250 0.692
Tm11 0.823 0.750 0.473
Tm12 0.995 0.750 0.899
Au1 0.095 0.750 0.687
Au2 0.405 0.250 0.187
Au3 0.595 0.750 0.813
Au4 0.905 0.250 0.313
C1 0.162 0.250 0.953
C2 0.338 0.750 0.453
C3 0.662 0.250 0.547
C4 0.838 0.750 0.047
```

***

# 4
DFT (PBE-GGA) results for a relaxed Tm6Au2C crystal.

Results
energy: -5.29 eV/atom
symmetry: P2_1/c, No. 14
magnetization: 0.0 μB/f.u.
formation enthalpy at 0 K: -0.55 eV/atom

The structure in CIF format:
```
data_Tm6Au2C
_symmetry_space_group_name_H-M 'P 1'
_symmetry_Int_Tables_number 1
_cell_length_a 6.638
_cell_length_b 6.890
_cell_length_c 11.520
_cell_angle_alpha 90.00
_cell_angle_beta 124.51
_cell_angle_gamma 90.00
loop_
_symmetry_equiv_pos_as_xyz
'x,y,z'
loop_
_atom_site_label
_atom_site_fract_x
_atom_site_fract_y
_atom_site_fract_z
Tm1 0.145 0.020 0.243
Tm2 0.145 0.480 0.743
Tm3 0.249 0.715 0.051
Tm4 0.249 0.785 0.551
Tm5 0.339 0.201 0.050
Tm6 0.339 0.299 0.550
Tm7 0.661 0.701 0.450
Tm8 0.661 0.799 0.950
Tm9 0.751 0.215 0.449
Tm10 0.751 0.285 0.949
Tm11 0.855 0.520 0.257
Tm12 0.855 0.980 0.757
Au1 0.274 0.062 0.751
Au2 0.274 0.438 0.251
Au3 0.726 0.562 0.749
Au4 0.726 0.938 0.249
C1 0.000 0.000 0.000
C2 0.000 0.500 0.500
```